1.
VASP calculation (PBE) on a geometry-optimized TiVCoI2 structure.

Its symmetry is P4/mmm. Its total moment is 0.325 μB per atom. As for the crystal system: tetragonal. The uncorrected formation energy comes out at 1.052 eV per atom.

a b c (Å): 5.258 5.258 4.324
angles (deg): 90.00 90.00 90.00
Fractional coordinates of all 5 atoms:
Ti 0.000 0.000 0.000
V 0.500 0.500 0.500
Co 0.500 0.500 0.000
I 0.000 0.500 0.500
I 0.500 0.000 0.500



2.
VASP calculation (PBE) on a geometry-optimized TlCoI2 structure.

Its symmetry is Fm-3m. Its total moment is 0.545 μB per atom. As for the distance to the lowest polymorph of the same formula: 0.4789 eV per atom. As for the crystal system: cubic. The uncorrected formation energy comes out at 0.421 eV per atom.

a b c (Å): 5.556 5.556 5.556
angles (deg): 60.00 60.00 60.00
Fractional coordinates of all 4 atoms:
Tl 0.000 0.000 0.000
Co 0.500 0.500 0.500
I 0.250 0.250 0.250
I 0.750 0.750 0.750



3.
VASP calculation (PBE) on a geometry-optimized TlCoI3 structure.

Its symmetry is P2_1/c. Its total moment is 0.600 μB per atom. As for the crystal system: monoclinic. The uncorrected formation energy comes out at -0.252 eV per atom.

a b c (Å): 7.923 8.923 13.791
angles (deg): 90.00 125.02 90.00
Fractional coordinates of all 20 atoms:
Tl 0.207 0.112 0.247
Tl 0.207 0.388 0.747
Tl 0.793 0.612 0.253
Tl 0.793 0.888 0.753
Co 0.103 0.597 0.051
Co 0.103 0.903 0.551
Co 0.897 0.097 0.449
Co 0.897 0.403 0.949
I 0.114 0.196 0.948
I 0.114 0.304 0.448
I 0.271 0.678 0.949
I 0.271 0.822 0.449
I 0.360 0.017 0.750
I 0.360 0.483 0.250
I 0.640 0.517 0.750
I 0.640 0.983 0.250
I 0.729 0.178 0.551
I 0.729 0.322 0.051
I 0.886 0.696 0.552
I 0.886 0.804 0.052



4.
VASP calculation (PBE) on a geometry-optimized Tl2CoI structure.

Its symmetry is Fm-3m. Its total moment is 0.494 μB per atom. As for the distance to the lowest polymorph of the same formula: 0.1839 eV per atom. As for the crystal system: cubic. The uncorrected formation energy comes out at 0.580 eV per atom.

a b c (Å): 5.629 5.629 5.629
angles (deg): 60.00 60.00 60.00
Fractional coordinates of all 4 atoms:
Tl 0.250 0.250 0.250
Tl 0.750 0.750 0.750
Co 0.000 0.000 0.000
I 0.500 0.500 0.500